Density functional theory data (PBE+U) for Sc2CdMoO8 after structural relaxation.

## Properties
Raw total energy ... -84.083 eV/f.u.
Density ... 4.57 g cm⁻³
Space group ... Cmmm
DOS(E_F) ... 8.5 states/eV/cell

Cell lengths 4.834, 4.834, 6.631 Å; angles 90.00, 90.00, 91.23 degrees
Element x y z (fractional)
Sc 0.000 0.000 0.249
Sc 0.000 0.000 0.751
Cd 0.500 0.500 0.000
Mo 0.500 0.500 0.500
O 0.184 0.184 0.000
O 0.209 0.209 0.500
O 0.304 0.696 0.292
O 0.304 0.696 0.708
O 0.696 0.304 0.292
O 0.696 0.304 0.708
O 0.791 0.791 0.500
O 0.816 0.816 0.000